Entry from Alexandria: AlOs2Pb after structural relaxation (GGA-PBE).

Values from the calculation:
V in Å³/cell: 67.5
Energy relative to the lowest polymorph listed for this composition in meV per atom: 305
Spin magnetization in μB/f.u.: 0.00
D(E_F) in states/eV per cell: 2.19

abc: 5.4878 5.4878 5.4878
angles: 148.83 127.14 62.65
Element x y z (fractional)
Pb (0.7500, 0.2500, 0.5000)
Os (0.4702, 0.4702, 0.0000)
Al (0.2500, 0.7500, 0.5000)
Os (0.0298, 0.0298, 0.0000)

Entry from Alexandria: RbPuBeSe3 after structural relaxation (GGA-PBE).

Values from the calculation:
V in Å³/cell: 360.4
Spin magnetization in μB/f.u.: 5.00
D(E_F) in states/eV per cell: 21.05
Formation energy from raw total energies in eV per atom: -1.190

abc: 4.0810 9.6201 9.7105
angles: 109.04 90.00 90.00
Last column: magnetic moment on the atom in μB.
Element x y z (fractional)
Rb (0.2500, 0.2033, 0.2345)  0.00
Rb (0.7500, 0.7967, 0.7655)  0.00
Se (0.7500, 0.1653, 0.5284)  0.02
Pu (0.2500, 0.6696, 0.1515)  -5.12
Se (0.7500, 0.8857, 0.1589)  0.07
Be (0.7500, 0.9229, 0.3957)  0.00
Be (0.2500, 0.0771, 0.6043)  0.00
Pu (0.7500, 0.3304, 0.8485)  -5.12
Se (0.2500, 0.1143, 0.8411)  0.07
Se (0.2500, 0.5364, 0.8398)  0.11
Se (0.7500, 0.4636, 0.1602)  0.11
Se (0.2500, 0.8347, 0.4716)  0.02

Entry from Alexandria: Ca5TiN4F2 after structural relaxation (GGA-PBE).

Values from the calculation:
V in Å³/cell: 191.8
Spin magnetization in μB/f.u.: 0.00
D(E_F) in states/eV per cell: 0.00
Formation energy from raw total energies in eV per atom: -1.759

abc: 5.7457 5.5769 6.9836
angles: 90.00 90.00 121.01
Element x y z (fractional)
N (0.6207, 0.0000, 0.2272)
N (0.6207, 0.0000, 0.7728)
N (0.3760, 0.3260, 0.0000)
Ca (0.0782, 0.3655, 0.7816)
Ca (0.7127, 0.6345, 0.7816)
F (0.3564, 0.3877, 0.5000)
Ca (0.0782, 0.3655, 0.2184)
F (0.9687, 0.6123, 0.5000)
Ca (0.4141, 0.0000, 0.5000)
Ca (0.7127, 0.6345, 0.2184)
Ti (0.4174, 0.0000, 0.0000)
N (0.0500, 0.6740, 0.0000)

Entry from Alexandria: TbY3Sc3S8 after structural relaxation (GGA-PBE).

Values from the calculation:
V in Å³/cell: 312.3
Spin magnetization in μB/f.u.: 0.00
D(E_F) in states/eV per cell: 6.73
Formation energy from raw total energies in eV per atom: -1.983

abc: 7.5825 7.5829 7.6486
angles: 119.72 90.00 120.00
Element x y z (fractional)
Y (0.0000, 0.5000, 0.0000)
Y (0.5000, 0.5000, 0.0000)
Sc (0.5000, 0.0000, 0.5000)
S (0.7446, 0.4892, 0.2558)
Sc (0.5000, 0.5000, 0.5000)
S (0.2554, 0.5108, 0.2663)
Sc (0.0000, 0.5000, 0.5000)
Y (0.0000, 0.0000, 0.0000)
Tb (0.0000, 0.0000, 0.5000)
S (0.2554, 0.5108, 0.7442)
S (0.2554, 0.9889, 0.7442)
S (0.7446, 0.4892, 0.7337)
S (0.2665, 0.0111, 0.2558)
S (0.7446, 0.0111, 0.2558)
S (0.7335, 0.9889, 0.7442)

Entry from Alexandria: Ho2NiAu after structural relaxation (GGA-PBE).

Values from the calculation:
V in Å³/cell: 175.0
Raw total energy in eV per atom: -5.215
Spin magnetization in μB/f.u.: 0.00
D(E_F) in states/eV per cell: 4.37

abc: 4.4865 5.5780 7.4572
angles: 110.29 90.00 90.00
Element x y z (fractional)
Ni (0.2500, 0.3391, 0.2082)
Ho (0.2500, 0.7901, 0.0672)
Ni (0.7500, 0.6609, 0.7918)
Au (0.2500, 0.3356, 0.7130)
Ho (0.7500, 0.2305, 0.4263)
Au (0.7500, 0.6644, 0.2870)
Ho (0.2500, 0.7695, 0.5737)
Ho (0.7500, 0.2099, 0.9328)

Entry from Alexandria: AcPr2Nd2Y2 after structural relaxation (GGA-PBE).

Values from the calculation:
V in Å³/cell: 252.0
Raw total energy in eV per atom: -5.134
Spin magnetization in μB/f.u.: 0.00
D(E_F) in states/eV per cell: 11.38

abc: 5.2580 6.4244 8.2628
angles: 97.59 90.00 114.16
Element x y z (fractional)
Ac (0.0000, 0.0000, 0.0000)
Y (0.8573, 0.7147, 0.5663)
Pr (0.7148, 0.4295, 0.1496)
Nd (0.5732, 0.1464, 0.7086)
Y (0.1427, 0.2853, 0.4337)
Pr (0.2852, 0.5705, 0.8504)
Nd (0.4268, 0.8536, 0.2914)

Entry from Alexandria: PuTiFe2 after structural relaxation (GGA-PBE).

Values from the calculation:
V in Å³/cell: 61.8
Energy relative to the lowest polymorph listed for this composition in meV per atom: 0
Spin magnetization in μB/f.u.: 2.69
D(E_F) in states/eV per cell: 5.63

abc: 3.0648 3.0648 6.5790
angles: 90.00 90.00 90.00
Last column: magnetic moment on the atom in μB.
Element x y z (fractional)
Fe (0.0000, 0.0000, 0.7815)  -1.72
Ti (0.5000, 0.5000, 0.0000)  0.70
Pu (0.5000, 0.5000, 0.5000)  5.09
Fe (0.0000, 0.0000, 0.2185)  -1.72

Entry from Alexandria: FeCoCl2 after structural relaxation (GGA-PBE).

Values from the calculation:
V in Å³/cell: 67.6
Spin magnetization in μB/f.u.: 5.03
D(E_F) in states/eV per cell: 4.66
Formation energy from raw total energies in eV per atom: 0.301

abc: 3.3200 3.3200 7.5575
angles: 90.00 90.00 125.73
Last column: magnetic moment on the atom in μB.
Element x y z (fractional)
Fe (0.5000, 0.5000, 0.7500)  3.02
Cl (0.0000, 0.0000, 0.0047)  0.08
Co (0.5000, 0.5000, 0.2500)  1.87
Cl (0.0000, 0.0000, 0.4953)  0.08

Entry from Alexandria: CsHg2I4 after structural relaxation (GGA-PBE).

Values from the calculation:
V in Å³/cell: 759.0
Energy relative to the lowest polymorph listed for this composition in meV per atom: 0
Spin magnetization in μB/f.u.: 0.00
D(E_F) in states/eV per cell: 0.00
Formation energy from raw total energies in eV per atom: -0.627

abc: 9.3792 9.2142 11.8375
angles: 93.58 109.72 123.73
Element x y z (fractional)
I (0.9075, 0.6353, 0.2375)
I (0.8701, 0.0795, 0.5935)
I (0.3004, 0.1826, 0.9101)
I (0.3737, 0.6795, 0.6683)
Hg (0.2134, 0.4990, 0.9930)
I (0.3863, 0.0822, 0.2886)
Cs (0.8355, 0.7927, 0.9388)
I (0.7156, 0.0325, 0.1443)
I (0.3461, 0.5339, 0.2602)
Cs (0.2438, 0.0013, 0.5795)
Hg (0.5935, 0.2708, 0.1451)
Hg (0.0866, 0.5069, 0.7515)
Hg (0.5936, 0.9267, 0.3421)
I (0.7840, 0.5271, 0.6474)

Entry from Alexandria: VPtI after structural relaxation (GGA-PBE).

Values from the calculation:
V in Å³/cell: 294.8
Energy relative to the lowest polymorph listed for this composition in meV per atom: 0
Spin magnetization in μB/f.u.: 0.40
D(E_F) in states/eV per cell: 7.19
Formation energy from raw total energies in eV per atom: -0.249

abc: 9.5801 4.2939 7.4356
angles: 90.00 105.44 90.00
Last column: magnetic moment on the atom in μB.
Element x y z (fractional)
V (0.3182, 0.5000, 0.6570)  -0.83
I (0.6161, 0.0000, 0.2592)  -0.04
V (0.3182, 0.0000, 0.1570)  -0.83
Pt (0.1706, 0.5000, 0.9400)  -0.05
V (0.4522, 0.5000, 0.0364)  1.56
I (0.0057, 0.0000, 0.0508)  -0.02
Pt (0.1706, 0.0000, 0.4400)  -0.05
I (0.0057, 0.5000, 0.5508)  -0.02
Pt (0.3107, 0.5000, 0.3212)  0.06
I (0.6161, 0.5000, 0.7592)  -0.04
Pt (0.3107, 0.0000, 0.8212)  0.06
V (0.4522, 0.0000, 0.5364)  1.56

Entry from Alexandria: Na2CaIn2Sn2 after structural relaxation (GGA-PBE).

Values from the calculation:
V in Å³/cell: 191.0
Raw total energy in eV per atom: -2.840
Spin magnetization in μB/f.u.: 0.00
D(E_F) in states/eV per cell: 2.72

abc: 4.9760 4.9760 9.3597
angles: 74.58 74.58 60.00
Element x y z (fractional)
Sn (0.2684, 0.2684, 0.1947)
In (0.4373, 0.4373, 0.6882)
Sn (0.7316, 0.7316, 0.8053)
Ca (0.0000, 0.0000, 0.0000)
Na (0.1443, 0.1443, 0.5672)
Na (0.8557, 0.8557, 0.4328)
In (0.5627, 0.5627, 0.3118)

Entry from Alexandria: Np2NiAg2S6 after structural relaxation (GGA-PBE).

Values from the calculation:
V in Å³/cell: 231.5
Spin magnetization in μB/f.u.: 7.28
D(E_F) in states/eV per cell: 14.44
Formation energy from raw total energies in eV per atom: -0.684

abc: 6.6261 6.6261 6.5867
angles: 100.66 100.66 120.40
Last column: magnetic moment on the atom in μB.
Element x y z (fractional)
Ni (0.0000, 0.0000, 0.5000)  0.77
S (0.0873, 0.4010, 0.7325)  -0.07
Ag (0.1820, 0.8180, 0.0000)  -0.02
S (0.4010, 0.0873, 0.7325)  -0.07
S (0.9127, 0.5990, 0.2675)  -0.07
Np (0.3330, 0.6670, 0.5000)  3.33
S (0.5990, 0.9127, 0.2675)  -0.07
Ag (0.8180, 0.1820, 0.0000)  -0.02
S (0.2124, 0.2124, 0.2786)  -0.04
Np (0.6670, 0.3330, 0.5000)  3.33
S (0.7876, 0.7876, 0.7214)  -0.04